[1]
{"formula": "Tm7Co2Ni2", "functional": "PBE", "state": "relaxed", "lattice": [[3.6093, -5.2245, 0.0000], [3.6093, 5.2245, 0.0000], [0.0000, 0.0000, 6.6759]], "species": ["Tm", "Tm", "Tm", "Tm", "Tm", "Tm", "Tm", "Co", "Co", "Ni", "Ni"], "frac_coords": [[0.0000, 0.0000, 0.0000], [0.0000, 0.5000, 0.2626], [0.0000, 0.5000, 0.7374], [0.5000, 0.0000, 0.2626], [0.5000, 0.0000, 0.7374], [0.5000, 0.5000, 0.2562], [0.5000, 0.5000, 0.7438], [0.2960, 0.7040, 0.0000], [0.7040, 0.2960, 0.0000], [0.1732, 0.1732, 0.5000], [0.8268, 0.8268, 0.5000]], "m_tot_mub_per_atom": 0.000, "energy_ev_per_atom": -5.28}

[2]
{"formula": "Mn2W", "functional": "PBE", "state": "relaxed", "lattice": [[4.2656, 0.0000, 0.0000], [-2.1328, 3.6941, 0.0000], [0.0000, 0.0000, 4.9319]], "species": ["Mn", "Mn", "Mn", "Mn", "W", "W"], "frac_coords": [[0.0000, 0.0000, 0.0000], [0.0000, 0.0000, 0.5000], [0.3333, 0.6667, 0.2500], [0.6667, 0.3333, 0.7500], [0.3333, 0.6667, 0.7500], [0.6667, 0.3333, 0.2500]], "m_tot_mub_per_atom": 0.590, "energy_ev_per_atom": -10.16, "de_polymorph_mev_per_atom": 348.1}